First-principles (GGA-PBE) data for a geometry-optimized LaErTh2Sb5 structure, as listed in Alexandria via LeMat-Bulk.

Unit cell a=5.2453 b=5.2453 c=11.6989 alpha=90.00 beta=90.00 gamma=90.00
Last column: nearest neighbours and their distance in Å.
Positions (direct):
La 0.0000 0.0000 0.0000  2 Sb 2.97
Er 0.0000 0.0000 0.5000  6 Sb 2.62-2.88
Th 0.5000 0.5000 0.3047  9 Sb 3.48-3.76
Th 0.5000 0.5000 0.6953  9 Sb 3.48-3.76
Sb 0.0000 0.5000 0.5000  2 Er 2.62
Sb 0.5000 0.0000 0.5000  2 Er 2.62
Sb 0.0000 0.0000 0.7462  1 Er 2.88, 1 La 2.97
Sb 0.0000 0.0000 0.2538  1 Er 2.88, 1 La 2.97
Sb 0.5000 0.5000 0.0000  2 Th 3.57, 4 La 3.71

Summary:
E_form (uncorrected) = -0.27 eV per atom
energy = -5.267 eV per atom
total moment = 0.00 Bohr magnetons per cell
volume = 322 Å³ per cell